# 1
Sr2TcOs (PBE-GGA, optimized geometry); polymorph energy (0 for the lowest one) = 0.673 eV/atom; space group = I4/mmm (139); spin magnetization = 1.40 μB per formula unit; calculated formation energy = 1.169 eV/atom
1.0
5.770 -0.018 0.000
2.675 5.112 0.000
-4.222 -2.547 2.995
Os Sr Tc
1 2 1
Direct
0.750 0.250 0.500
0.000 0.000 0.000
0.500 0.500 0.000
0.250 0.750 0.500

***

# 2
YbNd3 (PBE-GGA, optimized geometry); space group = P6_3/mmc (194); spin magnetization = 0.00 μB per formula unit; calculated formation energy = 0.002 eV/atom
1.0
7.414 0.000 0.000
-3.707 6.421 0.000
0.000 0.000 5.943
Yb Nd
2 6
Direct
0.667 0.333 0.250
0.333 0.667 0.750
0.669 0.835 0.250
0.165 0.835 0.250
0.835 0.669 0.750
0.165 0.331 0.250
0.331 0.165 0.750
0.835 0.165 0.750

***

Repeat the first record exactly.
Sr2TcOs (PBE-GGA, optimized geometry); polymorph energy (0 for the lowest one) = 0.673 eV/atom; space group = I4/mmm (139); spin magnetization = 1.40 μB per formula unit; calculated formation energy = 1.169 eV/atom
1.0
5.770 -0.018 0.000
2.675 5.112 0.000
-4.222 -2.547 2.995
Os Sr Tc
1 2 1
Direct
0.750 0.250 0.500
0.000 0.000 0.000
0.500 0.500 0.000
0.250 0.750 0.500

***

- What is the spin magnetization in the first record?
  1.40 μB per formula unit

***

- The lowest spin magnetization belongs to which entry?
  YbNd3

***

- calculated formation energy of number 2 (YbNd3)?
  0.002 eV/atom